Pr2In3Au4: optimized geometry, GGA-PBE.

Cell and atoms, written as CIF:
```
data_Pr2In3Au4
_chemical_formula_sum 'Pr4 In6 Au8'
_cell_length_a 8.6542
_cell_length_b 5.0008
_cell_length_c 9.8437
_cell_angle_alpha 90.00
_cell_angle_beta 90.46
_cell_angle_gamma 90.00
_symmetry_space_group_name_H-M 'C 1 2/m 1'
_symmetry_Int_Tables_number 12
loop_
_symmetry_equiv_pos_as_xyz
'x,y,z'
'-x,-y,-z'
'-x,y,-z'
'x,-y,z'
'x+1/2,y+1/2,z'
'-x+1/2,-y+1/2,-z'
'-x+1/2,y+1/2,-z'
'x+1/2,-y+1/2,z'
loop_
_atom_site_label
_atom_site_type_symbol
_atom_site_fract_x
_atom_site_fract_y
_atom_site_fract_z
_atom_site_occupancy
Pr1 Pr 0.1646 0.0000 0.2820 1
In1 In 0.0000 0.5000 0.5000 1
In2 In 0.1701 0.0000 0.9161 1
Au1 Au 0.0039 0.5000 0.8517 1
Au2 Au 0.1675 0.0000 0.5943 1
```

## Properties
Energy of formation ... -0.5702 eV/atom
Relative energy among the computed polymorphs ... 0.0000 eV per atom
E ... -72.03 eV for the cell shown



LaPdSe2: optimized geometry, GGA-PBE.

Cell and atoms, written as CIF:
```
data_LaPdSe2
_chemical_formula_sum 'La3 Pd3 Se6'
_cell_length_a 4.5530
_cell_length_b 4.5530
_cell_length_c 23.2409
_cell_angle_alpha 90.00
_cell_angle_beta 90.00
_cell_angle_gamma 120.00
_symmetry_space_group_name_H-M 'R -3 m'
_symmetry_Int_Tables_number 166
_symmetry_space_group_name_Hall '-R 3 2"'
loop_
_atom_site_label
_atom_site_type_symbol
_atom_site_fract_x
_atom_site_fract_y
_atom_site_fract_z
_atom_site_occupancy
La1 La 0.0000 0.0000 0.0000 1
Pd1 Pd 0.0000 0.0000 0.5000 1
Se1 Se 0.0000 0.0000 0.3964 1
```

## Properties
Energy relative to the elements, uncorrected ... -0.936 eV/atom
Relative energy among the computed polymorphs ... 0.1184 eV per atom
E ... -62.50 eV for the cell shown



Cs2LaClF6: optimized geometry, GGA-PBE.

Cell and atoms, written as CIF:
```
data_Cs2LaClF6
_chemical_formula_sum 'Cs4 La2 Cl2 F12'
_cell_length_a 6.6418
_cell_length_b 6.6418
_cell_length_c 11.0311
_cell_angle_alpha 90.00
_cell_angle_beta 90.00
_cell_angle_gamma 90.00
_symmetry_space_group_name_H-M 'I 4/m m m'
_symmetry_Int_Tables_number 139
_symmetry_space_group_name_Hall '-I 4 2'
loop_
_atom_site_label
_atom_site_type_symbol
_atom_site_fract_x
_atom_site_fract_y
_atom_site_fract_z
_atom_site_occupancy
Cs1 Cs 0.0000 0.5000 0.2500 1
La1 La 0.0000 0.0000 0.0000 1
Cl1 Cl 0.0000 0.0000 0.5000 1
F1 F 0.0000 0.0000 0.2074 1
F2 F 0.2465 0.2465 0.0000 1
```

## Properties
Energy relative to the elements, uncorrected ... -2.655 eV/atom
E ... -92.51 eV for the cell shown



LiY2Fe: optimized geometry, GGA-PBE.

Cell and atoms, written as CIF:
```
data_LiY2Fe
_chemical_formula_sum 'Li2 Y4 Fe2'
_cell_length_a 6.6720
_cell_length_b 3.5845
_cell_length_c 8.8538
_cell_angle_alpha 90.00
_cell_angle_beta 100.78
_cell_angle_gamma 90.00
_symmetry_space_group_name_H-M 'C 1 2/m 1'
_symmetry_Int_Tables_number 12
loop_
_symmetry_equiv_pos_as_xyz
'x,y,z'
'-x,-y,-z'
'-x,y,-z'
'x,-y,z'
'x+1/2,y+1/2,z'
'-x+1/2,-y+1/2,-z'
'-x+1/2,y+1/2,-z'
'x+1/2,-y+1/2,z'
loop_
_atom_site_label
_atom_site_type_symbol
_atom_site_fract_x
_atom_site_fract_y
_atom_site_fract_z
_atom_site_occupancy
Li1 Li 0.0000 0.0000 0.0000 1
Y1 Y 0.2278 0.0000 0.6855 1
Fe1 Fe 0.0000 0.5000 0.5000 1
```

## Properties
Energy of formation ... 0.2365 eV/atom
E ... -44.72 eV for the cell shown



CeDyTm: optimized geometry, GGA-PBE.

Cell and atoms, written as CIF:
```
data_CeDyTm
_chemical_formula_sum 'Ce2 Dy2 Tm2'
_cell_length_a 3.5032
_cell_length_b 3.5032
_cell_length_c 14.8458
_cell_angle_alpha 90.00
_cell_angle_beta 90.00
_cell_angle_gamma 90.00
_symmetry_space_group_name_H-M 'I 4 m m'
_symmetry_Int_Tables_number 107
_symmetry_space_group_name_Hall 'I 4 -2'
loop_
_atom_site_label
_atom_site_type_symbol
_atom_site_fract_x
_atom_site_fract_y
_atom_site_fract_z
_atom_site_occupancy
Ce1 Ce 0.0000 0.0000 0.0000 1
Dy1 Dy 0.0000 0.0000 0.6651 1
Tm1 Tm 0.0000 0.0000 0.3368 1
```

## Properties
Energy of formation ... 0.0731 eV/atom
Relative energy among the computed polymorphs ... 0.0112 eV per atom
E ... -29.58 eV for the cell shown



Li4CeHg5: optimized geometry, GGA-PBE.

Cell and atoms, written as CIF:
```
data_Li4CeHg5
_chemical_formula_sum 'Li4 Ce1 Hg5'
_cell_length_a 3.4068
_cell_length_b 3.4068
_cell_length_c 17.4320
_cell_angle_alpha 90.00
_cell_angle_beta 90.00
_cell_angle_gamma 90.00
_symmetry_space_group_name_H-M 'P 4/m m m'
_symmetry_Int_Tables_number 123
_symmetry_space_group_name_Hall '-P 4 2'
loop_
_atom_site_label
_atom_site_type_symbol
_atom_site_fract_x
_atom_site_fract_y
_atom_site_fract_z
_atom_site_occupancy
Li1 Li 0.0000 0.0000 0.0922 1
Li2 Li 0.0000 0.0000 0.2781 1
Ce1 Ce 0.0000 0.0000 0.5000 1
Hg1 Hg 0.5000 0.5000 0.0000 1
Hg2 Hg 0.5000 0.5000 0.1855 1
Hg3 Hg 0.5000 0.5000 0.3703 1
```

## Properties
Energy of formation ... -0.3517 eV/atom
E ... -18.62 eV for the cell shown



Ca2Co2S: optimized geometry, GGA-PBE.

Cell and atoms, written as CIF:
```
data_Ca2Co2S
_chemical_formula_sum 'Ca4 Co4 S2'
_cell_length_a 7.4626
_cell_length_b 7.4626
_cell_length_c 4.3079
_cell_angle_alpha 90.00
_cell_angle_beta 90.00
_cell_angle_gamma 90.00
_symmetry_space_group_name_H-M 'P 4/m b m'
_symmetry_Int_Tables_number 127
_symmetry_space_group_name_Hall '-P 4 2ab'
loop_
_atom_site_label
_atom_site_type_symbol
_atom_site_fract_x
_atom_site_fract_y
_atom_site_fract_z
_atom_site_occupancy
Ca1 Ca 0.1767 0.3233 0.0000 1
Co1 Co 0.0998 0.5998 0.5000 1
S1 S 0.0000 0.0000 0.0000 1
```

## Properties
Energy relative to the elements, uncorrected ... 0.070 eV/atom
Relative energy among the computed polymorphs ... 0.6073 eV per atom
E ... -43.99 eV for the cell shown



KPtW2: optimized geometry, GGA-PBE.

Cell and atoms, written as CIF:
```
data_KPtW2
_chemical_formula_sum 'K3 Pt3 W6'
_cell_length_a 2.8491
_cell_length_b 2.8491
_cell_length_c 31.8594
_cell_angle_alpha 90.00
_cell_angle_beta 90.00
_cell_angle_gamma 120.00
_symmetry_space_group_name_H-M 'R 3 m'
_symmetry_Int_Tables_number 160
_symmetry_space_group_name_Hall 'R 3 -2"'
loop_
_atom_site_label
_atom_site_type_symbol
_atom_site_fract_x
_atom_site_fract_y
_atom_site_fract_z
_atom_site_occupancy
K1 K 0.0000 0.0000 0.0000 1
Pt1 Pt 0.0000 0.0000 0.7560 1
W1 W 0.0000 0.0000 0.2342 1
W2 W 0.0000 0.0000 0.4929 1
```

## Properties
Energy of formation ... 0.6287 eV/atom
Relative energy among the computed polymorphs ... 0.1157 eV per atom
E ... -91.59 eV for the cell shown